No. 1
DFT (PBE) results for a relaxed structure of Tm5In2Ir.

Lattice parameters (Å, degrees): 8.4673 8.4673 12.1724 90.00 90.00 142.17
Closest atoms and distances in Å follow each position.
Positions (direct):
1 Tm 0.0727 0.9273 0.6024  1 Ir 2.64
2 Tm 0.0727 0.9273 0.8976  1 Ir 2.64
3 Tm 0.2948 0.7052 0.5659  1 Ir 2.77
4 Tm 0.2948 0.7052 0.9341  1 Ir 2.77
5 Tm 0.3006 0.6994 0.2500  2 Ir 2.75
6 Tm 0.6994 0.3006 0.7500  2 Ir 2.75
7 Tm 0.7052 0.2948 0.0659  1 Ir 2.77
8 Tm 0.7052 0.2948 0.4341  1 Ir 2.77
9 Tm 0.9273 0.0727 0.1024  1 Ir 2.64
10 Tm 0.9273 0.0727 0.3976  1 Ir 2.64
11 In 0.1234 0.8766 0.1325  1 In 2.86, 5 Tm 2.97-3.18
12 In 0.1234 0.8766 0.3675  1 In 2.86, 5 Tm 2.97-3.18
13 In 0.8766 0.1234 0.6325  1 In 2.86, 5 Tm 2.97-3.18
14 In 0.8766 0.1234 0.8675  1 In 2.86, 5 Tm 2.97-3.18
15 Ir 0.1936 0.8064 0.7500  6 Tm 2.64-2.77
16 Ir 0.8064 0.1936 0.2500  6 Tm 2.64-2.77

Output
* E above lowest polymorph: 0.395 eV/atom
* space group: Cmcm, No. 63
* uncorrected energy: -75.51 eV for the cell shown
* ΔE_f: -0.132 eV/atom

***

No. 2
DFT (PBE) results for a relaxed structure of Zn2AgPt.

Lattice parameters (Å, degrees): 5.0743 5.0743 5.0743 136.89 135.53 63.66
Closest atoms and distances in Å follow each position.
Positions (direct):
1 Zn 0.0000 0.0000 0.0000  4 Pt 2.68, 4 Zn 2.85-2.89, 4 Ag 2.86-2.88
2 Zn 0.7506 0.2506 0.5000  4 Ag 2.68, 4 Pt 2.83-2.91, 4 Zn 2.85-2.89
3 Ag 0.2516 0.7516 0.5000  8 Zn 2.68-2.88, 4 Pt 2.87
4 Pt 0.5040 0.5040 0.0000  8 Zn 2.68-2.91, 4 Ag 2.87

Output
* space group: Imm2, No. 44
* uncorrected energy: -12.48 eV for the cell shown
* ΔE_f: -0.259 eV/atom

***

No. 3
DFT (PBE) results for a relaxed structure of SrHfSn2.

Lattice parameters (Å, degrees): 11.6799 11.6799 11.6799 16.89 16.89 16.89
Closest atoms and distances in Å follow each position.
Positions (direct):
1 Sr 0.0000 0.0000 0.0000  2 Sn 3.34, 6 Sr 3.43
2 Hf 0.5000 0.5000 0.5000  6 Sn 3.13, 6 Hf 3.43
3 Sn 0.0966 0.0966 0.0966  3 Hf 3.13, 1 Sr 3.34, 6 Sn 3.43
4 Sn 0.9034 0.9034 0.9034  3 Hf 3.13, 1 Sr 3.34, 6 Sn 3.43

Output
* E above lowest polymorph: 0.416 eV/atom
* space group: R-3m, No. 166
* uncorrected energy: -19.24 eV for the cell shown
* ΔE_f: 0.101 eV/atom

***

No. 4
DFT (PBE) results for a relaxed structure of Ti3O5F.

Lattice parameters (Å, degrees): 5.5837 5.5837 7.3911 109.81 109.81 71.57
Closest atoms and distances in Å follow each position.
Positions (direct):
1 Ti 0.0000 0.0000 0.0000  4 O 1.97, 2 F 2.04
2 Ti 0.0000 0.0000 0.5000  4 O 1.97-2.01, 2 F 2.03
3 Ti 0.3278 0.3278 0.3402  6 O 1.97-2.15
4 Ti 0.3546 0.3546 0.8232  4 O 1.82-1.99
5 Ti 0.6454 0.6454 0.1768  4 O 1.82-1.99
6 Ti 0.6722 0.6722 0.6599  6 O 1.97-2.15
7 O 0.0314 0.6382 0.8337  3 Ti 1.97-1.99
8 O 0.2316 0.2316 0.5344  3 Ti 1.95-2.01
9 O 0.3012 0.6988 0.5000  3 Ti 1.97-1.99
10 O 0.3618 0.9686 0.1663  3 Ti 1.97-1.99
11 O 0.4304 0.4304 0.1251  1 Ti 1.82
12 O 0.5696 0.5696 0.8749  1 Ti 1.82
13 O 0.6382 0.0314 0.8337  3 Ti 1.97-1.99
14 O 0.6988 0.3012 0.5000  3 Ti 1.97-1.99
15 O 0.7684 0.7684 0.4656  3 Ti 1.95-2.01
16 O 0.9686 0.3618 0.1663  3 Ti 1.97-1.99
17 F 0.1026 0.1026 0.8017  3 Ti 2.03-2.22
18 F 0.8974 0.8974 0.1983  3 Ti 2.03-2.22

Output
* space group: C2/m, No. 12
* energy relative to the elements, uncorrected: -3014 meV/atom
* uncorrected energy: -154.94 eV for the cell shown

***

No. 5
DFT (PBE) results for a relaxed structure of CaAgSeBr.

Lattice parameters (Å, degrees): 13.9793 13.9793 13.9793 17.91 17.91 17.91
Closest atoms and distances in Å follow each position.
Positions (direct):
1 Ca 0.0869 0.0869 0.0869  3 Br 2.94, 3 Se 2.99
2 Ca 0.9131 0.9131 0.9131  3 Br 2.94, 3 Se 2.99
3 Ag 0.3132 0.3132 0.3132  4 Se 2.76-2.79, 3 Ag 3.01
4 Ag 0.6868 0.6868 0.6868  4 Se 2.76-2.79, 3 Ag 3.01
5 Se 0.3809 0.3809 0.3809  4 Ag 2.76-2.79, 3 Ca 2.99
6 Se 0.6191 0.6191 0.6191  4 Ag 2.76-2.79, 3 Ca 2.99
7 Br 0.2096 0.2096 0.2096  3 Ca 2.94
8 Br 0.7904 0.7904 0.7904  3 Ca 2.94

Output
* space group: R-3m, No. 166
* energy relative to the elements, uncorrected: -1289 meV/atom
* uncorrected energy: -30.34 eV for the cell shown

***

No. 6
DFT (PBE) results for a relaxed structure of KSm3Ag2Te6.

Lattice parameters (Å, degrees): 10.8113 10.8113 9.9975 109.48 109.48 24.47
Closest atoms and distances in Å follow each position.
Positions (direct):
1 K 0.0000 0.0000 0.0000  6 Te 3.50-3.59
2 Sm 0.0000 0.0000 0.5000  6 Te 3.21-3.36, 4 Ag 3.39
3 Sm 0.3271 0.3271 0.1578  6 Te 3.07-3.24
4 Sm 0.6729 0.6729 0.8422  6 Te 3.07-3.24
5 Ag 0.3870 0.3870 0.5270  3 Te 2.73
6 Ag 0.6130 0.6130 0.4730  3 Te 2.73
7 Te 0.1692 0.1692 0.6108  2 Ag 2.73
8 Te 0.1728 0.1728 0.0542  3 Sm 3.07-3.12
9 Te 0.4883 0.4883 0.2675  1 Ag 2.73
10 Te 0.5117 0.5117 0.7325  1 Ag 2.73
11 Te 0.8272 0.8272 0.9458  3 Sm 3.07-3.12
12 Te 0.8308 0.8308 0.3892  2 Ag 2.73

Output
* space group: C2/m, No. 12
* energy relative to the elements, uncorrected: -1046 meV/atom
* uncorrected energy: -52.36 eV for the cell shown

***

No. 7
DFT (PBE) results for a relaxed structure of YRh4O8.

Lattice parameters (Å, degrees): 6.2283 6.2283 6.2283 60.16 60.16 60.16
Closest atoms and distances in Å follow each position.
Positions (direct):
1 Y 0.0000 0.0000 0.0000  6 O 2.34
2 Rh 0.0000 0.0000 0.5000  6 O 2.02-2.08
3 Rh 0.0000 0.5000 0.0000  6 O 2.02-2.08
4 Rh 0.5000 0.0000 0.0000  6 O 2.02-2.08
5 Rh 0.5000 0.5000 0.5000  6 O 2.09
6 O 0.2266 0.2266 0.2266  3 Rh 2.02
7 O 0.2330 0.7358 0.7358  3 Rh 2.08-2.09
8 O 0.2642 0.2642 0.7670  3 Rh 2.08-2.09
9 O 0.2642 0.7670 0.2642  3 Rh 2.08-2.09
10 O 0.7358 0.2330 0.7358  3 Rh 2.08-2.09
11 O 0.7358 0.7358 0.2330  3 Rh 2.08-2.09
12 O 0.7670 0.2642 0.2642  3 Rh 2.08-2.09
13 O 0.7734 0.7734 0.7734  3 Rh 2.02

Output
* space group: R-3m, No. 166
* energy relative to the elements, uncorrected: -1176 meV/atom
* uncorrected energy: -90.83 eV for the cell shown

***

No. 8
DFT (PBE) results for a relaxed structure of La4SbPb5.

Lattice parameters (Å, degrees): 8.8285 8.8285 8.8285 149.74 97.50 90.33
Closest atoms and distances in Å follow each position.
Positions (direct):
1 La 0.1803 0.1803 0.0000  2 Sb 3.22, 4 Pb 3.46
2 La 0.2715 0.5000 0.7715  1 Sb 3.16, 6 Pb 3.42-3.52
3 La 0.7285 0.5000 0.2285  1 Sb 3.16, 6 Pb 3.42-3.52
4 La 0.8197 0.8197 0.0000  2 Sb 3.22, 4 Pb 3.46
5 Sb 0.0000 0.5000 0.5000  6 La 3.16-3.22
6 Pb 0.1214 0.8016 0.3198  3 Pb 3.10-3.24, 4 La 3.42-3.46
7 Pb 0.4819 0.8016 0.6802  3 Pb 3.10-3.24, 4 La 3.42-3.46
8 Pb 0.5000 0.0000 0.5000  4 Pb 3.24, 4 La 3.52
9 Pb 0.5181 0.1984 0.3198  3 Pb 3.10-3.24, 4 La 3.42-3.46
10 Pb 0.8786 0.1984 0.6802  3 Pb 3.10-3.24, 4 La 3.42-3.46

Output
* space group: Immm, No. 71
* energy relative to the elements, uncorrected: -646 meV/atom
* uncorrected energy: -48.83 eV for the cell shown

***

No. 9
DFT (PBE) results for a relaxed structure of Cu2AgSnTe4.

Lattice parameters (Å, degrees): 7.6123 7.6123 7.6123 131.77 131.77 70.59
Closest atoms and distances in Å follow each position.
Positions (direct):
1 Cu 0.2500 0.7500 0.5000  4 Te 2.59
2 Cu 0.7500 0.2500 0.5000  4 Te 2.59
3 Ag 0.0000 0.0000 0.0000  4 Te 2.77
4 Sn 0.5000 0.5000 0.0000  4 Te 2.84
5 Te 0.1052 0.6145 0.0000  2 Cu 2.59, 1 Ag 2.77, 1 Sn 2.84
6 Te 0.3855 0.3855 0.4907  2 Cu 2.59, 1 Ag 2.77, 1 Sn 2.84
7 Te 0.6145 0.1052 0.0000  2 Cu 2.59, 1 Ag 2.77, 1 Sn 2.84
8 Te 0.8948 0.8948 0.5093  2 Cu 2.59, 1 Ag 2.77, 1 Sn 2.84

Output
* space group: I-42m, No. 121
* energy relative to the elements, uncorrected: -132 meV/atom
* uncorrected energy: -28.67 eV for the cell shown

***

No. 10
DFT (PBE) results for a relaxed structure of LaReCl2.

Lattice parameters (Å, degrees): 9.1277 9.1277 9.1277 150.66 150.66 41.97
Closest atoms and distances in Å follow each position.
Positions (direct):
1 La 0.0000 0.0000 0.0000  4 Cl 2.81
2 La 0.7500 0.2500 0.5000  4 Cl 2.81
3 Re 0.2500 0.7500 0.5000  4 Cl 2.58
4 Re 0.5000 0.5000 0.0000  4 Cl 2.58
5 Cl 0.1817 0.6250 0.0567  2 Re 2.58, 2 La 2.81
6 Cl 0.3750 0.4317 0.5567  2 Re 2.58, 2 La 2.81
7 Cl 0.5683 0.1250 0.9433  2 Re 2.58, 2 La 2.81
8 Cl 0.8750 0.8183 0.4433  2 Re 2.58, 2 La 2.81

Output
* E above lowest polymorph: 0.356 eV/atom
* space group: I-42d, No. 122
* energy relative to the elements, uncorrected: -114 meV/atom
* uncorrected energy: -43.05 eV for the cell shown